<i>
An optimized crystal structure of LaPaS3. Source: Alexandria via LeMat-Bulk, functional PBE.

ρ, g cm⁻³: 6.617
DOS(E_F), states/eV per cell: 19.76

Cell: 7.453 4.007 15.669 Å, 90.00 90.00 90.00°
Fractional coordinates of all 20 atoms:
La 0.116 0.250 0.201
La 0.384 0.750 0.701
La 0.616 0.250 0.299
La 0.884 0.750 0.799
Pa 0.241 0.750 0.458
Pa 0.259 0.250 0.958
Pa 0.741 0.750 0.042
Pa 0.759 0.250 0.542
S 0.008 0.250 0.402
S 0.126 0.750 0.064
S 0.169 0.250 0.785
S 0.331 0.750 0.285
S 0.374 0.250 0.564
S 0.492 0.750 0.902
S 0.508 0.250 0.098
S 0.626 0.750 0.436
S 0.669 0.250 0.715
S 0.831 0.750 0.215
S 0.874 0.250 0.936
S 0.992 0.750 0.598

<ii>
An optimized crystal structure of LaPaS3. Source: Alexandria via LeMat-Bulk, functional PBE.

ρ, g cm⁻³: 5.673
DOS(E_F), states/eV per cell: 9.38

Cell: 6.916 6.916 8.347 Å, 107.00 107.00 46.12°
Fractional coordinates of all 10 atoms:
La 0.110 0.110 0.300
La 0.890 0.890 0.700
Pa 0.357 0.357 0.083
Pa 0.643 0.643 0.917
S 0.128 0.128 0.936
S 0.340 0.340 0.390
S 0.417 0.417 0.798
S 0.583 0.583 0.202
S 0.660 0.660 0.610
S 0.872 0.872 0.064

Here is how they stack up, most stable first: <i>, <ii>.